{"formula": "Ca2Ge2Br", "functional": "GGA-PBE", "state": "optimized geometry", "total_energy_ha_per_atom": -0.1356, "relative_energy_mev_per_atom": 127.1, "raw_formation_energy_ev_per_atom": -0.71, "cell": [[-3.334, 0.420, -2.104], [-2.141, -0.382, 3.316], [-2.419, 8.417, 1.778]], "species": ["Br", "Ca", "Ca", "Ge", "Ge"], "frac_coords": [[0.000, 0.000, 0.000], [0.382, 0.382, 0.236], [0.618, 0.618, 0.764], [0.250, 0.750, 0.500], [0.750, 0.250, 0.500]]}